VASP calculation (PBE) on NiSnPt14 after structural relaxation.

- Crystal system: orthorhombic
- DOS(E_F): 55.86 states/eV per cell
- DFT total energy: -5.972 eV per atom
- ΔH_f (0 K): -0.07 eV/atom
- Total magnetic moment: 0.0919 μB/atom

a = 9.311 Å, b = 5.596 Å, c = 9.687 Å
α = 90.00°, β = 90.00°, γ = 90.00°
Space group Amm2 (No. 38)
Unique sites:
Ni (0.000, 0.000, 0.000) [2 per cell]
Sn (0.000, 0.000, 0.501) [2 per cell]
Pt (0.000, 0.250, 0.253) [4 per cell]
Pt (0.244, 0.247, 0.079) [8 per cell]
Pt (0.246, 0.000, 0.831) [4 per cell]
Pt (0.251, 0.000, 0.328) [4 per cell]
Pt (0.500, 0.000, 0.157) [2 per cell]
Pt (0.500, 0.000, 0.659) [2 per cell]
Pt (0.500, 0.250, 0.409) [4 per cell]

***

VASP calculation (PBE) on Tb2HoSn3 after structural relaxation.

- Crystal system: orthorhombic
- DOS(E_F): 6.23 states/eV per cell
- DFT total energy: -4.878 eV per atom
- ΔH_f (0 K): -0.57 eV/atom
- Total magnetic moment: 0.0000 μB/atom

a = 3.616 Å, b = 6.230 Å, c = 15.493 Å
α = 90.00°, β = 90.00°, γ = 90.00°
Space group Immm (No. 71)
Unique sites:
Tb (0.000, 0.000, 0.167) [4 per cell]
Ho (0.000, 0.000, 0.500) [2 per cell]
Sn (0.000, 0.500, 0.166) [4 per cell]
Sn (0.000, 0.500, 0.500) [2 per cell]

***

VASP calculation (PBE) on SrCaY2In4 after structural relaxation.

- Crystal system: trigonal
- DOS(E_F): 16.64 states/eV per cell
- DFT total energy: -3.873 eV per atom
- ΔH_f (0 K): -0.43 eV/atom
- Total magnetic moment: 0.0000 μB/atom

a = 5.4535 Å, b = 5.4535 Å, c = 26.7423 Å
α = 90.00°, β = 90.00°, γ = 120.00°
Space group R-3m (No. 166, hexagonal axes)
Unique sites:
Sr (0.0000, 0.0000, 0.0000) [3 per cell]
Ca (0.0000, 0.0000, 0.5000) [3 per cell]
Y (0.0000, 0.0000, 0.2489) [6 per cell]
In (0.0000, 0.0000, 0.1267) [6 per cell]
In (0.0000, 0.0000, 0.3767) [6 per cell]

***

VASP calculation (PBE) on SmGa2Pd2Au after structural relaxation.

- Crystal system: tetragonal
- DOS(E_F): 3.04 states/eV per cell
- DFT total energy: -4.322 eV per atom
- ΔH_f (0 K): -0.25 eV/atom
- Total magnetic moment: 0.0000 μB/atom

a = 4.760 Å, b = 4.760 Å, c = 5.700 Å
α = 90.00°, β = 90.00°, γ = 90.00°
Space group P4/mmm (No. 123)
Unique sites:
Sm (0.000, 0.000, 0.000) [1 per cell]
Ga (0.000, 0.500, 0.500) [2 per cell]
Pd (0.500, 0.500, 0.244) [2 per cell]
Au (0.000, 0.000, 0.500) [1 per cell]

***

VASP calculation (PBE) on CaCu4P3 after structural relaxation.

- Crystal system: tetragonal
- DOS(E_F): 2.76 states/eV per cell
- DFT total energy: -4.729 eV per atom
- ΔH_f (0 K): -0.40 eV/atom
- Total magnetic moment: 0.0000 μB/atom

a = 3.994 Å, b = 3.994 Å, c = 7.500 Å
α = 90.00°, β = 90.00°, γ = 90.00°
Space group P4/mmm (No. 123)
Unique sites:
Ca (0.000, 0.000, 0.000) [1 per cell]
Cu (0.000, 0.500, 0.321) [4 per cell]
P (0.000, 0.000, 0.500) [1 per cell]
P (0.500, 0.500, 0.150) [2 per cell]

***

VASP calculation (PBE) on SrCe2Cd9 after structural relaxation.

- Crystal system: trigonal
- DOS(E_F): 61.19 states/eV per cell
- DFT total energy: -2.013 eV per atom
- ΔH_f (0 K): -0.20 eV/atom
- Total magnetic moment: 0.2105 μB/atom

a = 6.0261 Å, b = 6.0261 Å, c = 29.2896 Å
α = 90.00°, β = 90.00°, γ = 120.00°
Space group R-3m (No. 166, hexagonal axes)
Unique sites:
Sr (0.0000, 0.0000, 0.0000) [3 per cell]
Ce (0.0000, 0.0000, 0.1477) [6 per cell]
Cd (0.0000, 0.0000, 0.3355) [6 per cell]
Cd (0.0000, 0.0000, 0.5000) [3 per cell]
Cd (0.0065, 0.5032, 0.9152) [18 per cell]

***

Repeat the fourth record exactly.
VASP calculation (PBE) on SmGa2Pd2Au after structural relaxation.

- Crystal system: tetragonal
- DOS(E_F): 3.04 states/eV per cell
- DFT total energy: -4.322 eV per atom
- ΔH_f (0 K): -0.25 eV/atom
- Total magnetic moment: 0.0000 μB/atom

a = 4.760 Å, b = 4.760 Å, c = 5.700 Å
α = 90.00°, β = 90.00°, γ = 90.00°
Space group P4/mmm (No. 123)
Unique sites:
Sm (0.000, 0.000, 0.000) [1 per cell]
Ga (0.000, 0.500, 0.500) [2 per cell]
Pd (0.500, 0.500, 0.244) [2 per cell]
Au (0.000, 0.000, 0.500) [1 per cell]

***

- Number 6 is which compound?
  SrCe2Cd9

***

- Which of these has the highest ΔH_f (0 K)?
  NiSnPt14